Record 1
Compound: Mg2SbH2
Source: the Alexandria database
Functional: PBEsol
Structure: optimized geometry

Calculated total energy (eV/cell): -15.64
SG: I4/mmm, No. 139
Total magnetic moment (μB/f.u.): 0.00
V (Å³/cell): 71

a = 3.454 Å, b = 3.454 Å, c = 6.453 Å
α = 105.53°, β = 105.53°, γ = 90.00°
Atoms (fractional coordinates):
Mg  0.340  0.340  0.680
Mg  0.660  0.660  0.320
Sb  0.000  0.000  0.000
H  0.750  0.250  0.500
H  0.250  0.750  0.500

---

Record 2
Compound: MgSb2TeH
Source: the Alexandria database
Functional: PBEsol
Structure: optimized geometry

Calculated total energy (eV/cell): -13.03
SG: P4/mmm, No. 123
Total magnetic moment (μB/f.u.): 0.90
V (Å³/cell): 154

a = 5.334 Å, b = 5.334 Å, c = 5.401 Å
α = 90.00°, β = 90.00°, γ = 90.00°
Each line ends with the local moment (μB).
Atoms (fractional coordinates):
Sb  0.500  0.000  0.000  0.00
Te  0.000  0.000  0.500  0.03
H  0.500  0.500  0.500  0.33
Sb  0.000  0.500  0.000  0.00
Mg  0.000  0.000  0.000  0.00

---

Record 3
Compound: MgSc2H2
Source: the Alexandria database
Functional: PBEsol
Structure: optimized geometry

Calculated total energy (eV/cell): -23.84
SG: I4/mmm, No. 139
Total magnetic moment (μB/f.u.): 0.00
V (Å³/cell): 71

a = 3.542 Å, b = 3.542 Å, c = 6.191 Å
α = 106.62°, β = 106.62°, γ = 90.00°
Atoms (fractional coordinates):
Sc  0.661  0.661  0.322
Sc  0.339  0.339  0.678
H  0.750  0.250  0.500
Mg  0.000  0.000  0.000
H  0.250  0.750  0.500

---

Record 4
Compound: Mg3SnH
Source: the Alexandria database
Functional: PBEsol
Structure: optimized geometry

Calculated total energy (eV/cell): -9.41
SG: Pm-3m, No. 221
Total magnetic moment (μB/f.u.): 0.00
V (Å³/cell): 156

a = 5.379 Å, b = 5.379 Å, c = 5.379 Å
α = 90.00°, β = 90.00°, γ = 90.00°
Atoms (fractional coordinates):
Mg  0.000  0.500  0.000
Sn  0.000  0.000  0.000
Mg  0.000  0.000  0.500
H  0.500  0.500  0.500
Mg  0.500  0.000  0.000

---

Record 5
Compound: Mg3SnH
Source: the Alexandria database
Functional: PBEsol
Structure: optimized geometry

Calculated total energy (eV/cell): -13.32
SG: Pm-3m, No. 221
Total magnetic moment (μB/f.u.): 0.00
V (Å³/cell): 87

a = 4.436 Å, b = 4.436 Å, c = 4.436 Å
α = 90.00°, β = 90.00°, γ = 90.00°
Atoms (fractional coordinates):
Mg  0.500  0.000  0.000
Sn  0.500  0.500  0.500
H  0.000  0.000  0.000
Mg  0.000  0.000  0.500
Mg  0.000  0.500  0.000

---

Record 6
Compound: Sr2MgH2
Source: the Alexandria database
Functional: PBEsol
Structure: optimized geometry

Calculated total energy (eV/cell): -13.57
SG: I4/mmm, No. 139
Total magnetic moment (μB/f.u.): 0.00
V (Å³/cell): 120

a = 4.135 Å, b = 4.135 Å, c = 7.613 Å
α = 105.76°, β = 105.76°, γ = 90.00°
Atoms (fractional coordinates):
H  0.250  0.750  0.500
Sr  0.342  0.342  0.685
H  0.750  0.250  0.500
Mg  0.000  0.000  0.000
Sr  0.658  0.658  0.315

---

Record 7
Compound: Sr2MgH
Source: the Alexandria database
Functional: PBEsol
Structure: optimized geometry

Calculated total energy (eV/cell): -18.16
SG: I-42d, No. 122
Total magnetic moment (μB/f.u.): 0.00
V (Å³/cell): 248

a = 6.873 Å, b = 6.873 Å, c = 6.873 Å
α = 103.65°, β = 112.46°, γ = 112.46°
Atoms (fractional coordinates):
Sr  0.888  0.375  0.763
Mg  0.500  0.750  0.250
H  0.000  0.500  0.500
Mg  0.000  0.000  0.000
Sr  0.112  0.875  0.487
Sr  0.612  0.237  0.125
Sr  0.388  0.513  0.625
H  0.500  0.250  0.750

---

Record 8
Compound: Sr2Mg3H10
Source: the Alexandria database
Functional: PBEsol
Structure: optimized geometry

Calculated total energy (eV/cell): -94.35
SG: C2/m, No. 12
Total magnetic moment (μB/f.u.): 0.00
V (Å³/cell): 335

a = 5.646 Å, b = 7.320 Å, c = 9.135 Å
α = 110.05°, β = 108.00°, γ = 90.00°
Atoms (fractional coordinates):
Mg  0.259  0.000  0.000
H  0.908  0.483  0.309
H  0.865  0.257  0.730
H  0.765  0.500  0.000
H  0.401  0.483  0.309
H  0.500  0.000  0.500
Mg  0.174  0.023  0.348
H  0.000  0.000  0.500
H  0.982  0.824  0.964
H  0.484  0.805  0.969
Mg  0.826  0.977  0.652
Mg  0.741  0.000  0.000
Sr  0.279  0.685  0.558
H  0.235  0.500  0.000
H  0.239  0.295  0.477
H  0.135  0.743  0.270
Sr  0.721  0.315  0.442
Mg  0.925  0.553  0.850
H  0.836  0.031  0.229
H  0.516  0.195  0.031
H  0.607  0.969  0.771
H  0.761  0.705  0.523
Sr  0.616  0.722  0.233
Mg  0.075  0.447  0.150
H  0.393  0.031  0.229
H  0.092  0.517  0.691
H  0.164  0.969  0.771
H  0.599  0.517  0.691
Sr  0.384  0.278  0.767
H  0.018  0.176  0.036

---

Record 9
Compound: SrMgTcH2
Source: the Alexandria database
Functional: PBEsol
Structure: optimized geometry

Calculated total energy (eV/cell): -15.68
SG: P4/mmm, No. 123
Total magnetic moment (μB/f.u.): 3.10
V (Å³/cell): 118

a = 4.167 Å, b = 4.167 Å, c = 6.768 Å
α = 90.00°, β = 90.00°, γ = 90.00°
Each line ends with the local moment (μB).
Atoms (fractional coordinates):
Sr  0.000  0.000  0.000  0.00
H  0.000  0.500  0.000  0.01
Mg  0.000  0.000  0.500  -0.03
H  0.500  0.000  0.000  0.01
Tc  0.500  0.500  0.500  2.84

---

Record 10
Compound: SrYMg2H
Source: the Alexandria database
Functional: PBEsol
Structure: optimized geometry

Calculated total energy (eV/cell): -12.94
SG: P4/mmm, No. 123
Total magnetic moment (μB/f.u.): 0.00
V (Å³/cell): 149

a = 3.981 Å, b = 6.115 Å, c = 6.115 Å
α = 90.00°, β = 90.00°, γ = 90.00°
Atoms (fractional coordinates):
Y  0.500  0.500  0.500
Sr  0.000  0.000  0.000
H  0.500  0.000  0.000
Mg  0.000  0.000  0.500
Mg  0.000  0.500  0.000

---

Record 11
Compound: MgTaH3
Source: the Alexandria database
Functional: PBEsol
Structure: optimized geometry

Calculated total energy (eV/cell): -23.82
SG: Pm-3m, No. 221
Total magnetic moment (μB/f.u.): 0.00
V (Å³/cell): 48

a = 3.639 Å, b = 3.639 Å, c = 3.639 Å
α = 90.00°, β = 90.00°, γ = 90.00°
Atoms (fractional coordinates):
H  0.000  0.000  0.500
Ta  0.000  0.000  0.000
H  0.500  0.000  0.000
H  0.000  0.500  0.000
Mg  0.500  0.500  0.500

---

Record 12
Compound: Mg3TaH
Source: the Alexandria database
Functional: PBEsol
Structure: optimized geometry

Calculated total energy (eV/cell): -18.90
SG: Pm-3m, No. 221
Total magnetic moment (μB/f.u.): 1.38
V (Å³/cell): 79

a = 4.297 Å, b = 4.297 Å, c = 4.297 Å
α = 90.00°, β = 90.00°, γ = 90.00°
Each line ends with the local moment (μB).
Atoms (fractional coordinates):
H  0.000  0.000  0.000  0.05
Ta  0.500  0.500  0.500  0.74
Mg  0.000  0.000  0.500  0.01
Mg  0.000  0.500  0.000  0.01
Mg  0.500  0.000  0.000  0.01